1.
Ce5Tl2H4: relaxed, GGA-PBE.

Cell lengths 6.6469, 6.1305, 7.1782 Å; angles 75.46, 62.42, 57.17 degrees
Each line ends with the local moment (μB).
Fractional coordinates of all 11 atoms:
Ce (0.7500, 0.5000, 0.5000)  1.05
H (0.1987, 0.3560, 0.2465)  -0.01
Ce (0.2500, 0.5000, 0.5000)  1.05
Tl (0.1268, 0.0000, 0.7464)  -0.02
H (0.5547, 0.6440, 0.2465)  -0.01
Ce (0.5000, 0.5000, 0.0000)  0.90
Ce (0.5000, 0.0000, 0.0000)  0.95
H (0.8013, 0.6440, 0.7535)  -0.01
H (0.4453, 0.3560, 0.7535)  -0.01
Ce (0.0000, 0.5000, 0.0000)  0.90
Tl (0.8732, 0.0000, 0.2536)  -0.02

Values from the calculation:
- SG = No. 69


2.
Ce3TlH: relaxed, GGA-PBE.

Cell lengths 6.7919, 6.0167, 6.5922 Å; angles 102.01, 121.01, 90.00 degrees
Each line ends with the local moment (μB).
Fractional coordinates of all 10 atoms:
Tl (0.3519, 0.6782, 0.7038)  0.00
Ce (0.8617, 0.7968, 0.2297)  0.21
H (0.2277, 0.0676, 0.4555)  0.00
Ce (0.0741, 0.2821, 0.1482)  0.12
Ce (0.3680, 0.7968, 0.2297)  0.21
H (0.7723, 0.9324, 0.5445)  0.00
Ce (0.1383, 0.2032, 0.7703)  0.21
Tl (0.6481, 0.3218, 0.2962)  0.00
Ce (0.9259, 0.7179, 0.8518)  0.12
Ce (0.6320, 0.2032, 0.7703)  0.21

Values from the calculation:
- SG = No. 12


The records above yield uncorrected energy values of -4.57; -4.96 eV/atom, respectively.